Entry 1:
! VSbBr3, relaxed, DFT GGA-PBE; values from VASP
! * polymorph energy (0 for the lowest one): 0 meV per atom
! * space-group type: Pm-3m
! * formation energy (no corrections): -0.070 eV/atom
&SYSTEM
  ibrav = 0, nat = 5, ntyp = 3
/
ATOMIC_SPECIES
V 50.94 V.upf
Sb 121.76 Sb.upf
Br 79.90 Br.upf
ATOMIC_POSITIONS angstrom
V 0.000 0.000 0.000
Sb 2.571 2.571 2.571
Br 0.000 0.000 2.571
Br 0.000 2.571 0.000
Br 2.571 0.000 0.000
CELL_PARAMETERS angstrom
5.143 0.000 0.000
0.000 5.143 0.000
0.000 0.000 5.143

---

Entry 2:
! PrHgGe2, relaxed, DFT GGA-PBE; values from VASP
! * space-group type: P4/mmm
! * ΔE_f: -398 meV per atom
&SYSTEM
  ibrav = 0, nat = 4, ntyp = 3
/
ATOMIC_SPECIES
Pr 140.91 Pr.upf
Hg 200.59 Hg.upf
Ge 72.64 Ge.upf
ATOMIC_POSITIONS angstrom
Pr 0.000 0.000 0.000
Hg 2.311 2.311 0.000
Ge 0.000 2.311 2.139
Ge 2.311 0.000 2.139
CELL_PARAMETERS angstrom
4.621 0.000 0.000
0.000 4.621 0.000
0.000 0.000 4.278

---

| no. | final energy (eV per atom) |
| --- | --- |
| 1 | -3.722 |
| 2 | -3.977 |